Entry 1:
Crystalline Mn2ReTcN at its relaxed geometry. Source: Alexandria via LeMat-Bulk, functional GGA-PBE.

Cell: 3.8126 3.8126 3.9896 Å, 90.00 90.00 90.00°
Closest atoms and distances in Å follow each position.
Fractional coordinates of all 5 atoms:
Mn (0.5000, 0.0000, 0.0000)  2 N 1.91
Mn (0.0000, 0.5000, 0.0000)  2 N 1.91
Tc (0.5000, 0.5000, 0.5000)  4 Re 2.70, 8 Mn 2.76
Re (0.0000, 0.0000, 0.5000)  2 N 1.99
N (0.0000, 0.0000, 0.0000)  4 Mn 1.91, 2 Re 1.99

spin magnetization = 0.00 μB/f.u.
mass density = 11.7 g cm⁻³
symmetry = No. 123

Entry 2:
Crystalline Mn2ReTcN at its relaxed geometry. Source: Alexandria via LeMat-Bulk, functional GGA-PBE.

Cell: 3.8040 3.8040 3.9874 Å, 90.00 90.00 90.00°
Closest atoms and distances in Å follow each position.
Fractional coordinates of all 5 atoms:
Tc (0.0000, 0.0000, 0.5000)  2 N 1.99
Re (0.5000, 0.5000, 0.5000)  4 Tc 2.69, 8 Mn 2.76
Mn (0.5000, 0.0000, 0.0000)  2 N 1.90
Mn (0.0000, 0.5000, 0.0000)  2 N 1.90
N (0.0000, 0.0000, 0.0000)  4 Mn 1.90, 2 Tc 1.99

spin magnetization = 0.00 μB/f.u.
mass density = 11.7 g cm⁻³
symmetry = No. 123

Entry 3:
Crystalline MnZn2ReN4 at its relaxed geometry. Source: Alexandria via LeMat-Bulk, functional GGA-PBE.

Cell: 4.6041 4.6041 5.7342 Å, 113.67 113.67 90.00°
Closest atoms and distances in Å follow each position.
Fractional coordinates of all 8 atoms:
N (0.8506, 0.3856, 0.2361)  1 Re 1.88, 2 Zn 2.05, 1 Mn 2.07
N (0.6145, 0.6145, 0.7640)  1 Re 1.88, 2 Zn 2.05, 1 Mn 2.07
N (0.3856, 0.8506, 0.2361)  1 Re 1.88, 2 Zn 2.05, 1 Mn 2.07
N (0.1495, 0.1495, 0.7640)  1 Re 1.88, 2 Zn 2.05, 1 Mn 2.07
Zn (0.7500, 0.2501, 0.5001)  4 N 2.05
Zn (0.2501, 0.7500, 0.5001)  4 N 2.05
Re (0.5000, 0.5000, 0.0001)  4 N 1.88
Mn (0.0000, 0.0000, 0.0001)  4 N 2.07

spin magnetization = 4.10 μB/f.u.
mass density = 7.1 g cm⁻³
symmetry = No. 121

Computed density of states at the Fermi level (states/eV/atom) in order:
1.05 0.97 0.29
Computed raw total energy (eV per atom) in order:
-9.869 -9.871 -7.201
Computed energy relative to the elements, uncorrected (meV/atom) in order:
26 25 -17